Record 1
# VIrO2F

VIrO2F after structural relaxation (PBE+U, Alexandria).

For the density, the calculation gives 8.58 g/cm3. Its total energy is -5.909 eV per atom.

It has space group P4/mmm (No. 123), with a = 3.8454 Å, b = 3.8454 Å, c = 3.8506 Å, α = 90.00°, β = 90.00° and γ = 90.00°. The distinct sites, in fractional coordinates, are V at (0.0000, 0.0000, 0.0000), Ir at (0.5000, 0.5000, 0.5000), O at (0.0000, 0.5000, 0.0000) and F at (0.0000, 0.0000, 0.5000).

***

Record 2
# VIrO2F

VIrO2F after structural relaxation (PBE+U, Alexandria).

For the density, the calculation gives 6.07 g/cm3. Its total energy is -5.817 eV per atom.

It has space group P4/mmm (No. 123), with a = 3.6954 Å, b = 3.6954 Å, c = 5.8943 Å, α = 90.00°, β = 90.00° and γ = 90.00°. The distinct sites, in fractional coordinates, are V at (0.0000, 0.0000, 0.0000), Ir at (0.5000, 0.5000, 0.5000), O at (0.0000, 0.5000, 0.5000) and F at (0.5000, 0.5000, 0.0000).

***

Calculated values (states/eV per cell) of D(E_F) for the records, taken in order: 8.9; 9.3.